(1)
Crystalline FeHgPt2 at its relaxed geometry. Source: the Alexandria database, functional PBE.

Output
Volume: 65 Å³ per cell
Energy: -5.226 eV per atom
Energy of formation: -0.014 eV per atom
DOS(E_F): 0.588 states/eV/atom
SG: No. 139

Cell: 4.8620 4.8620 4.8620 Å, 130.66 130.66 72.36°
With the nearest neighbours (Å) after each atom.
Fractional positions:
Pt 0.5000 0.5000 0.0000  4 Hg 2.82, 4 Fe 2.82, 4 Pt 2.87
Pt 0.0000 0.0000 0.0000  4 Fe 2.82, 4 Hg 2.82, 4 Pt 2.87
Hg 0.7500 0.2500 0.5000  8 Pt 2.82, 4 Fe 2.87
Fe 0.2500 0.7500 0.5000  8 Pt 2.82, 4 Hg 2.87



(2)
Crystalline FeSiHgPt2 at its relaxed geometry. Source: the Alexandria database, functional PBE.

Output
Formation energy (no corrections): 1.56 eV/atom
Volume: 120 Å³ per cell
Energy: -3.690 eV per atom
DOS(E_F): 1.265 states/eV/atom
SG: No. 123

Cell: 5.0427 4.7365 5.0427 Å, 90.00 90.00 90.00°
With the nearest neighbours (Å) after each atom.
Fractional positions:
Fe 0.0000 0.5000 0.0000  2 Hg 2.37
Hg 0.0000 0.0000 0.0000  2 Fe 2.37, 4 Pt 2.52
Si 0.5000 0.5000 0.5000  8 Pt 3.46, 4 Fe 3.57
Pt 0.0000 0.0000 0.5000  2 Hg 2.52
Pt 0.5000 0.0000 0.0000  2 Hg 2.52



(3)
Crystalline FeTcHgPt2 at its relaxed geometry. Source: the Alexandria database, functional PBE.

Output
Volume: 103 Å³ per cell
Energy: -5.027 eV per atom
Energy of formation: 1.215 eV per atom
DOS(E_F): 0.819 states/eV/atom
SG: No. 123

Cell: 4.6247 4.7959 4.6247 Å, 90.00 90.00 90.00°
With the nearest neighbours (Å) after each atom.
Fractional positions:
Fe 0.0000 0.0000 0.0000  4 Pt 2.31, 2 Hg 2.40
Pt 0.5000 0.0000 0.0000  2 Fe 2.31
Pt 0.0000 0.0000 0.5000  2 Fe 2.31
Tc 0.5000 0.5000 0.5000  4 Hg 3.27, 8 Pt 3.33
Hg 0.0000 0.5000 0.0000  2 Fe 2.40



(4)
Crystalline Rb2FeHg at its relaxed geometry. Source: the Alexandria database, functional PBE.

Output
Volume: 361 Å³ per cell
Energy: -1.777 eV per atom
Energy of formation: 0.898 eV per atom
DOS(E_F): 1.740 states/eV/atom
SG: No. 122

Cell: 5.4751 5.4751 12.6405 Å, 77.49 77.49 90.00°
With the nearest neighbours (Å) after each atom.
Fractional positions:
Rb 0.8750 0.8719 0.7500  2 Fe 3.57, 2 Hg 3.58, 4 Rb 3.85-3.90
Rb 0.3750 0.3781 0.7500  2 Fe 3.57, 2 Hg 3.58, 4 Rb 3.85-3.90
Rb 0.6219 0.1250 0.2500  2 Fe 3.57, 2 Hg 3.58, 4 Rb 3.85-3.90
Rb 0.1281 0.6250 0.2500  2 Fe 3.57, 2 Hg 3.58, 4 Rb 3.85-3.90
Fe 0.2500 0.7500 0.5000  4 Rb 3.57, 4 Hg 3.87
Fe 0.5000 0.5000 0.0000  4 Rb 3.57, 4 Hg 3.87
Hg 0.7500 0.2500 0.5000  4 Rb 3.58, 4 Fe 3.87
Hg 0.0000 0.0000 0.0000  4 Rb 3.58, 4 Fe 3.87



(5)
Crystalline RbFeHg3 at its relaxed geometry. Source: the Alexandria database, functional PBE.

Output
Polymorph energy (0 for the lowest one): 0 kJ/mol of formula units
Volume: 147 Å³ per cell
Energy: -1.959 eV per atom
Energy of formation: 0.108 eV per atom
DOS(E_F): 1.030 states/eV/atom
SG: No. 221

Cell: 5.2751 5.2751 5.2751 Å, 90.00 90.00 90.00°
With the nearest neighbours (Å) after each atom.
Fractional positions:
Hg 0.5000 0.0000 0.0000  2 Fe 2.64
Hg 0.0000 0.0000 0.5000  2 Fe 2.64
Hg 0.0000 0.5000 0.0000  2 Fe 2.64
Rb 0.5000 0.5000 0.5000  12 Hg 3.73
Fe 0.0000 0.0000 0.0000  6 Hg 2.64



(6)
Crystalline Rb3FeHg at its relaxed geometry. Source: the Alexandria database, functional PBE.

Output
Polymorph energy (0 for the lowest one): 0 kJ/mol of formula units
Volume: 304 Å³ per cell
Energy: -1.624 eV per atom
Energy of formation: 0.709 eV per atom
DOS(E_F): 3.519 states/eV/atom
SG: No. 221

Cell: 6.7207 6.7207 6.7207 Å, 90.00 90.00 90.00°
With the nearest neighbours (Å) after each atom.
Fractional positions:
Rb 0.0000 0.0000 0.5000  2 Fe 3.36
Rb 0.5000 0.0000 0.0000  2 Fe 3.36
Rb 0.0000 0.5000 0.0000  2 Fe 3.36
Fe 0.0000 0.0000 0.0000  6 Rb 3.36
Hg 0.5000 0.5000 0.5000  12 Rb 4.75



> Look up the energy of the fifth one.

-1.959 eV per atom